Entry 1:
Density functional theory data (GGA+U) for a geometry-optimized NaMnCo2F8 structure.

CIF file:
```
data_NaMnCo2F8
_symmetry_space_group_name_H-M 'P 1'
_symmetry_Int_Tables_number 1
_symmetry_space_group_name_Hall 'P 1'
_cell_length_a 4.920
_cell_length_b 4.895
_cell_length_c 6.379
_cell_angle_alpha 89.70
_cell_angle_beta 90.29
_cell_angle_gamma 88.20
loop_
_atom_site_label
_atom_site_fract_x
_atom_site_fract_y
_atom_site_fract_z
F1 0.808 0.196 0.784
F2 0.310 0.306 0.000
F3 0.193 0.803 0.788
F4 0.690 0.694 0.000
F5 0.322 0.319 0.500
F6 0.678 0.681 0.500
F7 0.192 0.804 0.216
F8 0.807 0.197 0.212
Mn1 0.000 0.000 0.000
Co1 0.501 0.499 0.250
Co2 0.499 0.501 0.750
Na1 0.000 0.000 0.500
```

Output
Magnetization = 10.00 μB/f.u.
ρ = 3.76 Mg/m³
Crystal system = triclinic
E_tot = -5.174 eV per atom

Entry 2:
Density functional theory data (GGA+U) for a geometry-optimized Na2MnCo3F12 structure.

CIF file:
```
data_Na2MnCo3F12
_symmetry_space_group_name_H-M 'P 1'
_symmetry_Int_Tables_number 1
_symmetry_space_group_name_Hall 'P 1'
_cell_length_a 7.453
_cell_length_b 7.453
_cell_length_c 7.453
_cell_angle_alpha 58.99
_cell_angle_beta 58.99
_cell_angle_gamma 58.99
loop_
_atom_site_label
_atom_site_fract_x
_atom_site_fract_y
_atom_site_fract_z
F1 0.678 0.071 0.071
F2 0.680 0.054 0.680
F3 0.320 0.320 0.946
F4 0.071 0.678 0.071
F5 0.929 0.322 0.929
F6 0.054 0.680 0.680
F7 0.929 0.929 0.322
F8 0.946 0.320 0.320
F9 0.320 0.946 0.320
F10 0.071 0.071 0.678
F11 0.322 0.929 0.929
F12 0.680 0.680 0.054
Co1 0.000 0.500 0.000
Co2 0.500 0.000 0.000
Co3 0.000 0.000 0.500
Na1 0.294 0.294 0.294
Na2 0.706 0.706 0.706
Mn1 0.000 0.000 0.000
```

Output
Magnetization = 14.09 μB/f.u.
ρ = 2.94 Mg/m³
Crystal system = trigonal
E_tot = -4.906 eV per atom

Entry 3:
Density functional theory data (GGA+U) for a geometry-optimized NaMn2CoF6 structure.

CIF file:
```
data_NaMn2CoF6
_symmetry_space_group_name_H-M 'P 1'
_symmetry_Int_Tables_number 1
_symmetry_space_group_name_Hall 'P 1'
_cell_length_a 5.616
_cell_length_b 5.614
_cell_length_c 5.871
_cell_angle_alpha 61.34
_cell_angle_beta 61.38
_cell_angle_gamma 59.94
loop_
_atom_site_label
_atom_site_fract_x
_atom_site_fract_y
_atom_site_fract_z
Mn1 0.516 0.516 0.452
Mn2 0.013 0.014 0.959
Na1 0.802 0.802 0.594
F1 0.735 0.137 0.744
F2 0.138 0.384 0.743
F3 0.629 0.236 0.241
F4 0.384 0.735 0.743
F5 0.235 0.895 0.241
F6 0.895 0.629 0.242
Co1 0.315 0.315 0.056
```

Output
Magnetization = 12.03 μB/f.u.
ρ = 3.80 Mg/m³
Crystal system = triclinic
E_tot = -5.575 eV per atom

Entry 4:
Density functional theory data (GGA+U) for a geometry-optimized MnCoO2F structure.

CIF file:
```
data_MnCoO2F
_symmetry_space_group_name_H-M 'P 1'
_symmetry_Int_Tables_number 1
_symmetry_space_group_name_Hall 'P 1'
_cell_length_a 3.760
_cell_length_b 3.760
_cell_length_c 3.913
_cell_angle_alpha 90.00
_cell_angle_beta 90.00
_cell_angle_gamma 90.00
loop_
_atom_site_label
_atom_site_fract_x
_atom_site_fract_y
_atom_site_fract_z
O1 0.000 0.500 0.000
O2 0.500 0.000 0.000
F1 0.000 0.000 0.500
Co1 0.000 0.000 0.000
Mn1 0.500 0.500 0.500
```

Output
Magnetization = 7.58 μB/f.u.
ρ = 4.95 Mg/m³
Crystal system = tetragonal
E_tot = -5.999 eV per atom

Entry 5:
Density functional theory data (GGA+U) for a geometry-optimized RbMnCo2F8 structure.

CIF file:
```
data_RbMnCo2F8
_symmetry_space_group_name_H-M 'P 1'
_symmetry_Int_Tables_number 1
_symmetry_space_group_name_Hall 'P 1'
_cell_length_a 4.798
_cell_length_b 4.929
_cell_length_c 8.349
_cell_angle_alpha 84.13
_cell_angle_beta 91.52
_cell_angle_gamma 86.80
loop_
_atom_site_label
_atom_site_fract_x
_atom_site_fract_y
_atom_site_fract_z
F1 0.553 0.711 0.613
F2 0.675 0.709 0.012
F3 0.815 0.229 0.823
F4 0.325 0.291 0.988
F5 0.185 0.771 0.177
F6 0.447 0.289 0.387
F7 0.166 0.804 0.841
F8 0.834 0.196 0.159
Co1 0.516 0.536 0.817
Co2 0.484 0.464 0.183
Mn1 0.000 0.000 0.000
Rb1 0.000 0.000 0.500
```

Output
Magnetization = 10.00 μB/f.u.
ρ = 3.48 Mg/m³
Crystal system = triclinic
E_tot = -5.097 eV per atom

Entry 6:
Density functional theory data (GGA+U) for a geometry-optimized Rb2MnCo3F12 structure.

CIF file:
```
data_Rb2MnCo3F12
_symmetry_space_group_name_H-M 'P 1'
_symmetry_Int_Tables_number 1
_symmetry_space_group_name_Hall 'P 1'
_cell_length_a 7.375
_cell_length_b 7.375
_cell_length_c 7.375
_cell_angle_alpha 60.33
_cell_angle_beta 60.33
_cell_angle_gamma 60.33
loop_
_atom_site_label
_atom_site_fract_x
_atom_site_fract_y
_atom_site_fract_z
Co1 0.000 0.500 0.000
Co2 0.500 0.000 0.000
Co3 0.000 0.000 0.500
F1 0.081 0.684 0.684
F2 0.684 0.684 0.081
F3 0.316 0.316 0.919
F4 0.919 0.316 0.316
F5 0.918 0.348 0.918
F6 0.684 0.081 0.684
F7 0.652 0.082 0.082
F8 0.082 0.652 0.082
F9 0.316 0.919 0.316
F10 0.348 0.918 0.918
F11 0.918 0.918 0.348
F12 0.082 0.082 0.652
Mn1 0.000 0.000 0.000
Rb1 0.379 0.379 0.379
Rb2 0.621 0.621 0.621
```

Output
Magnetization = 16.08 μB/f.u.
ρ = 3.66 Mg/m³
Crystal system = trigonal
E_tot = -4.949 eV per atom

Entry 7:
Density functional theory data (GGA+U) for a geometry-optimized Rb2MnCoF6 structure.

CIF file:
```
data_Rb2MnCoF6
_symmetry_space_group_name_H-M 'P 1'
_symmetry_Int_Tables_number 1
_symmetry_space_group_name_Hall 'P 1'
_cell_length_a 5.968
_cell_length_b 5.968
_cell_length_c 6.023
_cell_angle_alpha 60.30
_cell_angle_beta 60.30
_cell_angle_gamma 90.00
loop_
_atom_site_label
_atom_site_fract_x
_atom_site_fract_y
_atom_site_fract_z
F1 0.243 0.757 0.000
F2 0.757 0.243 0.000
F3 0.748 0.748 0.503
F4 0.757 0.757 0.000
F5 0.243 0.243 0.000
F6 0.252 0.252 0.497
Co1 0.000 0.000 0.000
Rb1 0.750 0.250 0.500
Rb2 0.250 0.750 0.500
Mn1 0.500 0.500 0.000
```

Output
Magnetization = 8.00 μB/f.u.
ρ = 4.33 Mg/m³
Crystal system = tetragonal
E_tot = -5.158 eV per atom

Entry 8:
Density functional theory data (GGA+U) for a geometry-optimized Rb2Mn3CoF12 structure.

CIF file:
```
data_Rb2Mn3CoF12
_symmetry_space_group_name_H-M 'P 1'
_symmetry_Int_Tables_number 1
_symmetry_space_group_name_Hall 'P 1'
_cell_length_a 7.347
_cell_length_b 7.347
_cell_length_c 7.347
_cell_angle_alpha 59.76
_cell_angle_beta 59.76
_cell_angle_gamma 59.76
loop_
_atom_site_label
_atom_site_fract_x
_atom_site_fract_y
_atom_site_fract_z
Mn1 0.000 0.000 0.500
Mn2 0.000 0.500 0.000
Mn3 0.500 0.000 0.000
F1 0.318 0.318 0.920
F2 0.666 0.077 0.077
F3 0.334 0.923 0.923
F4 0.682 0.080 0.682
F5 0.077 0.077 0.666
F6 0.318 0.920 0.318
F7 0.923 0.923 0.334
F8 0.923 0.334 0.923
F9 0.920 0.318 0.318
F10 0.077 0.666 0.077
F11 0.080 0.682 0.682
F12 0.682 0.682 0.080
Co1 0.000 0.000 0.000
Rb1 0.623 0.623 0.623
Rb2 0.377 0.377 0.377
```

Output
Magnetization = 9.94 μB/f.u.
ρ = 3.71 Mg/m³
Crystal system = trigonal
E_tot = -5.120 eV per atom

Entry 9:
Density functional theory data (GGA+U) for a geometry-optimized Mn2CoRhF structure.

CIF file:
```
data_Mn2CoRhF
_symmetry_space_group_name_H-M 'P 1'
_symmetry_Int_Tables_number 1
_symmetry_space_group_name_Hall 'P 1'
_cell_length_a 5.004
_cell_length_b 5.004
_cell_length_c 4.520
_cell_angle_alpha 90.00
_cell_angle_beta 90.00
_cell_angle_gamma 90.00
loop_
_atom_site_label
_atom_site_fract_x
_atom_site_fract_y
_atom_site_fract_z
Mn1 0.500 0.000 0.000
Mn2 0.000 0.500 0.000
F1 0.500 0.500 0.500
Co1 0.000 0.000 0.500
Rh1 0.000 0.000 0.000
```

Output
Magnetization = 7.48 μB/f.u.
ρ = 4.27 Mg/m³
Crystal system = tetragonal
E_tot = -5.421 eV per atom

Entry 10:
Density functional theory data (GGA+U) for a geometry-optimized MnCoSnF6 structure.

CIF file:
```
data_MnCoSnF6
_symmetry_space_group_name_H-M 'P 1'
_symmetry_Int_Tables_number 1
_symmetry_space_group_name_Hall 'P 1'
_cell_length_a 5.547
_cell_length_b 5.547
_cell_length_c 10.206
_cell_angle_alpha 90.00
_cell_angle_beta 90.00
_cell_angle_gamma 120.00
loop_
_atom_site_label
_atom_site_fract_x
_atom_site_fract_y
_atom_site_fract_z
F1 0.650 0.639 0.141
F2 0.650 0.011 0.359
F3 0.639 0.989 0.859
F4 0.639 0.650 0.641
F5 0.011 0.361 0.641
F6 0.350 0.361 0.859
F7 0.989 0.350 0.141
F8 0.350 0.989 0.641
F9 0.361 0.011 0.141
F10 0.361 0.350 0.359
F11 0.011 0.650 0.859
F12 0.989 0.639 0.359
Co1 0.667 0.333 0.250
Co2 0.333 0.667 0.750
Sn1 0.000 0.000 0.500
Sn2 0.000 0.000 0.000
Mn1 0.333 0.667 0.250
Mn2 0.667 0.333 0.750
```

Output
Magnetization = 8.00 μB/f.u.
ρ = 4.23 Mg/m³
Crystal system = trigonal
E_tot = -5.438 eV per atom